## Ba2TlHgIr (GGA-PBE)

Data for a relaxed structure of Ba2TlHgIr.

```
data_Ba2TlHgIr
_chemical_formula_sum 'Ba2 Tl1 Hg1 Ir1'
_cell_length_a 6.0776
_cell_length_b 6.0776
_cell_length_c 5.2853
_cell_angle_alpha 90.00
_cell_angle_beta 90.00
_cell_angle_gamma 90.00
_symmetry_space_group_name_H-M 'P 4/m m m'
_symmetry_Int_Tables_number 123
_symmetry_space_group_name_Hall '-P 4 2'
loop_
_atom_site_label
_atom_site_fract_x
_atom_site_fract_y
_atom_site_fract_z
Ba1 0.0000 0.5000 0.0000
Tl1 0.0000 0.0000 0.5000
Hg1 0.5000 0.5000 0.5000
Ir1 0.0000 0.0000 0.0000
```

Values from the calculation:
Crystal system   tetragonal
V   195.22 Å³/cell
Total moment   0.000 μB per formula unit
Formation enthalpy at 0 K   -0.233 eV/atom

## BaYHg2Ir (GGA-PBE)

Data for a relaxed structure of BaYHg2Ir.

```
data_BaYHg2Ir
_chemical_formula_sum 'Ba1 Y1 Hg2 Ir1'
_cell_length_a 5.4480
_cell_length_b 5.4480
_cell_length_c 5.1565
_cell_angle_alpha 90.00
_cell_angle_beta 90.00
_cell_angle_gamma 90.00
_symmetry_space_group_name_H-M 'P 4/m m m'
_symmetry_Int_Tables_number 123
_symmetry_space_group_name_Hall '-P 4 2'
loop_
_atom_site_label
_atom_site_fract_x
_atom_site_fract_y
_atom_site_fract_z
Ba1 0.0000 0.0000 0.0000
Y1 0.5000 0.5000 0.0000
Hg1 0.0000 0.5000 0.5000
Ir1 0.5000 0.5000 0.5000
```

Values from the calculation:
Crystal system   tetragonal
V   153.05 Å³/cell
Total moment   0.000 μB per formula unit
Formation enthalpy at 0 K   -0.247 eV/atom

## Ba2ZnHgIr (GGA-PBE)

Data for a relaxed structure of Ba2ZnHgIr.

```
data_Ba2ZnHgIr
_chemical_formula_sum 'Ba2 Zn1 Hg1 Ir1'
_cell_length_a 6.0555
_cell_length_b 6.0555
_cell_length_c 4.8905
_cell_angle_alpha 90.00
_cell_angle_beta 90.00
_cell_angle_gamma 90.00
_symmetry_space_group_name_H-M 'P 4/m m m'
_symmetry_Int_Tables_number 123
_symmetry_space_group_name_Hall '-P 4 2'
loop_
_atom_site_label
_atom_site_fract_x
_atom_site_fract_y
_atom_site_fract_z
Ba1 0.0000 0.5000 0.0000
Zn1 0.0000 0.0000 0.5000
Hg1 0.5000 0.5000 0.5000
Ir1 0.0000 0.0000 0.0000
```

Values from the calculation:
Crystal system   tetragonal
V   179.33 Å³/cell
Total moment   0.000 μB per formula unit
Formation enthalpy at 0 K   -0.220 eV/atom

## BaZn2HgIr (GGA-PBE)

Data for a relaxed structure of BaZn2HgIr.

```
data_BaZn2HgIr
_chemical_formula_sum 'Ba1 Zn2 Hg1 Ir1'
_cell_length_a 4.9240
_cell_length_b 4.9240
_cell_length_c 5.3275
_cell_angle_alpha 90.00
_cell_angle_beta 90.00
_cell_angle_gamma 90.00
_symmetry_space_group_name_H-M 'P 4/m m m'
_symmetry_Int_Tables_number 123
_symmetry_space_group_name_Hall '-P 4 2'
loop_
_atom_site_label
_atom_site_fract_x
_atom_site_fract_y
_atom_site_fract_z
Ba1 0.0000 0.0000 0.0000
Zn1 0.0000 0.5000 0.5000
Hg1 0.5000 0.5000 0.0000
Ir1 0.5000 0.5000 0.5000
```

Values from the calculation:
Crystal system   tetragonal
V   129.17 Å³/cell
Total moment   0.000 μB per formula unit
Formation enthalpy at 0 K   -0.270 eV/atom

## K2BaHg (GGA-PBE)

Data for a relaxed structure of K2BaHg.

```
data_K2BaHg
_chemical_formula_sum 'K2 Ba1 Hg1'
_cell_length_a 4.3684
_cell_length_b 4.3510
_cell_length_c 10.9929
_cell_angle_alpha 90.00
_cell_angle_beta 90.17
_cell_angle_gamma 90.00
_symmetry_space_group_name_H-M 'P 1 m 1'
_symmetry_Int_Tables_number 6
loop_
_symmetry_equiv_pos_as_xyz
'x,y,z'
'x,-y,z'
loop_
_atom_site_label
_atom_site_fract_x
_atom_site_fract_y
_atom_site_fract_z
K1 0.0000 0.0000 0.0000
K2 0.4987 0.5000 0.3248
Ba1 0.9974 0.0000 0.6405
Hg1 0.4983 0.5000 0.7945
```

Values from the calculation:
Crystal system   monoclinic
V   208.94 Å³/cell
Total moment   0.000 μB per formula unit
Formation enthalpy at 0 K   -0.189 eV/atom

## K2Ba2Hg3 (GGA-PBE)

Data for a relaxed structure of K2Ba2Hg3.

```
data_K2Ba2Hg3
_chemical_formula_sum 'K4 Ba4 Hg6'
_cell_length_a 4.1933
_cell_length_b 33.5175
_cell_length_c 4.1687
_cell_angle_alpha 90.00
_cell_angle_beta 90.00
_cell_angle_gamma 90.00
_symmetry_space_group_name_H-M 'C m m m'
_symmetry_Int_Tables_number 65
_symmetry_space_group_name_Hall '-C 2 2'
loop_
_atom_site_label
_atom_site_fract_x
_atom_site_fract_y
_atom_site_fract_z
K1 0.0000 0.1901 0.0000
Ba1 0.0000 0.0634 0.0000
Hg1 0.0000 0.3763 0.5000
Hg2 0.0000 0.5000 0.5000
```

Values from the calculation:
Crystal system   orthorhombic
V   585.90 Å³/cell
Total moment   0.000 μB per formula unit
Formation enthalpy at 0 K   -0.353 eV/atom

## KBa2Hg4 (GGA-PBE)

Data for a relaxed structure of KBa2Hg4.

```
data_KBa2Hg4
_chemical_formula_sum 'K3 Ba6 Hg12'
_cell_length_a 5.7696
_cell_length_b 5.7696
_cell_length_c 28.1905
_cell_angle_alpha 90.00
_cell_angle_beta 90.00
_cell_angle_gamma 120.00
_symmetry_space_group_name_H-M 'R -3 m'
_symmetry_Int_Tables_number 166
_symmetry_space_group_name_Hall '-R 3 2"'
loop_
_atom_site_label
_atom_site_fract_x
_atom_site_fract_y
_atom_site_fract_z
K1 0.0000 0.0000 0.0000
Ba1 0.0000 0.0000 0.2462
Hg1 0.0000 0.0000 0.1243
Hg2 0.0000 0.0000 0.3762
```

Values from the calculation:
Crystal system   trigonal
V   812.69 Å³/cell
Total moment   0.000 μB per formula unit
Formation enthalpy at 0 K   -0.287 eV/atom

## KBaHg2 (GGA-PBE)

Data for a relaxed structure of KBaHg2.

```
data_KBaHg2
_chemical_formula_sum 'K3 Ba3 Hg6'
_cell_length_a 4.6922
_cell_length_b 4.6922
_cell_length_c 27.1827
_cell_angle_alpha 90.00
_cell_angle_beta 90.00
_cell_angle_gamma 120.00
_symmetry_space_group_name_H-M 'R 3 m'
_symmetry_Int_Tables_number 160
_symmetry_space_group_name_Hall 'R 3 -2"'
loop_
_atom_site_label
_atom_site_fract_x
_atom_site_fract_y
_atom_site_fract_z
K1 0.0000 0.0000 0.0000
Ba1 0.0000 0.0000 0.1692
Hg1 0.0000 0.0000 0.5823
Hg2 0.0000 0.0000 0.7541
```

Values from the calculation:
Crystal system   trigonal
V   518.30 Å³/cell
Total moment   0.000 μB per formula unit
Formation enthalpy at 0 K   -0.258 eV/atom

## KBaHg3 (GGA-PBE)

Data for a relaxed structure of KBaHg3.

```
data_KBaHg3
_chemical_formula_sum 'K1 Ba1 Hg3'
_cell_length_a 5.9933
_cell_length_b 5.9933
_cell_length_c 5.9933
_cell_angle_alpha 90.00
_cell_angle_beta 90.00
_cell_angle_gamma 90.00
_symmetry_space_group_name_H-M 'P m -3 m'
_symmetry_Int_Tables_number 221
_symmetry_space_group_name_Hall '-P 4 2 3'
loop_
_atom_site_label
_atom_site_fract_x
_atom_site_fract_y
_atom_site_fract_z
K1 0.0000 0.0000 0.0000
Ba1 0.5000 0.5000 0.5000
Hg1 0.0000 0.0000 0.5000
```

Values from the calculation:
Crystal system   cubic
V   215.28 Å³/cell
Total moment   0.000 μB per formula unit
Formation enthalpy at 0 K   -0.001 eV/atom

## K2BaHg (GGA-PBE)

Data for a relaxed structure of K2BaHg.

```
data_K2BaHg
_chemical_formula_sum 'K8 Ba4 Hg4'
_cell_length_a 11.1706
_cell_length_b 11.1706
_cell_length_c 7.1049
_cell_angle_alpha 90.00
_cell_angle_beta 90.00
_cell_angle_gamma 90.00
_symmetry_space_group_name_H-M 'I -4 2 d'
_symmetry_Int_Tables_number 122
_symmetry_space_group_name_Hall 'I -4 2bw'
loop_
_atom_site_label
_atom_site_fract_x
_atom_site_fract_y
_atom_site_fract_z
K1 0.1694 0.7500 0.1250
Ba1 0.0000 0.0000 0.5000
Hg1 0.0000 0.0000 0.0000
```

Values from the calculation:
Crystal system   tetragonal
V   886.57 Å³/cell
Total moment   0.000 μB per formula unit
Formation enthalpy at 0 K   -0.037 eV/atom

## K2BaHg (GGA-PBE)

Data for a relaxed structure of K2BaHg.

```
data_K2BaHg
_chemical_formula_sum 'K4 Ba2 Hg2'
_cell_length_a 4.2083
_cell_length_b 5.8605
_cell_length_c 16.9281
_cell_angle_alpha 90.00
_cell_angle_beta 90.00
_cell_angle_gamma 90.00
_symmetry_space_group_name_H-M 'I m m m'
_symmetry_Int_Tables_number 71
_symmetry_space_group_name_Hall '-I 2 2'
loop_
_atom_site_label
_atom_site_fract_x
_atom_site_fract_y
_atom_site_fract_z
K1 0.0000 0.0000 0.1796
Ba1 0.0000 0.5000 0.0000
Hg1 0.0000 0.5000 0.5000
```

Values from the calculation:
Crystal system   orthorhombic
V   417.50 Å³/cell
Total moment   0.000 μB per formula unit
Formation enthalpy at 0 K   -0.134 eV/atom

## K2Ba2Hg15 (GGA-PBE)

Data for a relaxed structure of K2Ba2Hg15.

```
data_K2Ba2Hg15
_chemical_formula_sum 'K6 Ba6 Hg45'
_cell_length_a 10.6607
_cell_length_b 10.6607
_cell_length_c 18.3662
_cell_angle_alpha 90.00
_cell_angle_beta 90.00
_cell_angle_gamma 120.00
_symmetry_space_group_name_H-M 'R -3 m'
_symmetry_Int_Tables_number 166
_symmetry_space_group_name_Hall '-R 3 2"'
loop_
_atom_site_label
_atom_site_fract_x
_atom_site_fract_y
_atom_site_fract_z
K1 0.0000 0.0000 0.1552
Ba1 0.0000 0.0000 0.3993
Hg1 0.0000 0.3012 0.5000
Hg2 0.0000 0.5000 0.0000
Hg3 0.0202 0.5101 0.6302
```

Values from the calculation:
Crystal system   trigonal
V   1807.69 Å³/cell
Total moment   0.000 μB per formula unit
Formation enthalpy at 0 K   -0.207 eV/atom

## KBa2Hg6 (GGA-PBE)

Data for a relaxed structure of KBa2Hg6.

```
data_KBa2Hg6
_chemical_formula_sum 'K1 Ba2 Hg6'
_cell_length_a 9.0761
_cell_length_b 9.0761
_cell_length_c 4.2382
_cell_angle_alpha 90.00
_cell_angle_beta 90.00
_cell_angle_gamma 120.00
_symmetry_space_group_name_H-M 'P 6/m m m'
_symmetry_Int_Tables_number 191
_symmetry_space_group_name_Hall '-P 6 2'
loop_
_atom_site_label
_atom_site_fract_x
_atom_site_fract_y
_atom_site_fract_z
K1 0.0000 0.0000 0.0000
Ba1 0.3333 0.6667 0.0000
Hg1 0.0000 0.3314 0.5000
```

Values from the calculation:
Crystal system   hexagonal
V   302.35 Å³/cell
Total moment   0.000 μB per formula unit
Formation enthalpy at 0 K   -0.413 eV/atom